DFT (PBE-GGA) results for a relaxed LiLa4Nd3Te8 crystal.

Output
DFT total energy: -5.298 eV/atom
Crystal system: trigonal
Space-group type: R-3m
M_tot: 0.0 μB/cell
Raw formation energy: -23.703 eV/f.u.

a = 9.0722 Å, b = 9.0256 Å, c = 9.0726 Å
α = 120.17°, β = 120.00°, γ = 90.00°
With the nearest neighbours (Å) after each atom.
Fractional coordinates of all 16 atoms:
Te1 0.2515 0.2544 0.5029  3 Nd 3.18, 3 La 3.22
Te2 0.7551 0.7385 0.9968  1 Li 3.09, 2 Nd 3.18, 3 La 3.22-3.31
Te3 0.7485 0.7456 0.4971  3 Nd 3.18, 3 La 3.22
Te4 0.7583 0.2615 0.5165  1 Li 3.09, 2 Nd 3.18, 3 La 3.22-3.30
Te5 0.2449 0.2615 0.0032  1 Li 3.09, 2 Nd 3.18, 3 La 3.22-3.31
Te6 0.2417 0.7385 0.4835  1 Li 3.09, 2 Nd 3.18, 3 La 3.22-3.30
Te7 0.7583 0.2615 0.0032  1 Li 3.09, 2 Nd 3.18, 3 La 3.22-3.31
Te8 0.2417 0.7385 0.9968  1 Li 3.09, 2 Nd 3.18, 3 La 3.22-3.31
Nd1 0.5000 0.5000 0.0000  6 Te 3.18
Nd2 0.5000 0.5000 0.5000  6 Te 3.18
Nd3 0.0000 0.5000 0.5000  6 Te 3.18
La1 0.5000 0.0000 0.5000  6 Te 3.22
La2 0.0000 0.0000 0.0000  6 Te 3.22
La3 0.5000 0.0000 0.0000  6 Te 3.30-3.31
La4 0.0000 0.0000 0.5000  6 Te 3.22
Li1 0.0000 0.5000 0.0000  6 Te 3.09



DFT (PBE-GGA) results for a relaxed LiLaNdTh crystal.

Output
DFT total energy: -4.502 eV/atom
Formation energy: 1.02 eV/f.u.
Crystal system: cubic
Space-group type: F-43m
M_tot: 0.0 μB/cell

a = 5.6467 Å, b = 5.6467 Å, c = 5.6467 Å
α = 60.00°, β = 60.00°, γ = 60.00°
With the nearest neighbours (Å) after each atom.
Fractional coordinates of all 4 atoms:
Li1 0.0000 0.0000 0.0000  4 La 3.46, 4 Nd 3.46
Nd1 0.7500 0.7500 0.7500  4 Th 3.46, 4 Li 3.46
Th1 0.5000 0.5000 0.5000  4 La 3.46, 4 Nd 3.46
La1 0.2500 0.2500 0.2500  4 Li 3.46, 4 Th 3.46



DFT (PBE-GGA) results for a relaxed Li2LaNdTl2 crystal.

Output
DFT total energy: -3.344 eV/atom
Formation energy: -1.81 eV/f.u.
Crystal system: trigonal
Space-group type: P-3m1
M_tot: 0.2 μB/cell

a = 5.1044 Å, b = 5.1044 Å, c = 6.8637 Å
α = 90.00°, β = 90.00°, γ = 120.00°
With the nearest neighbours (Å) after each atom.
Fractional coordinates of all 6 atoms:
Li1 0.3333 0.6667 0.2580  3 Tl 2.95
Li2 0.6667 0.3333 0.7420  3 Tl 2.95
La1 0.0000 0.0000 0.0000  6 Tl 3.43, 2 Nd 3.43, 6 Li 3.44
Tl1 0.3333 0.6667 0.7443  3 Li 2.95
Tl2 0.6667 0.3333 0.2557  3 Li 2.95
Nd1 0.0000 0.0000 0.5000  6 Li 3.38, 6 Tl 3.39, 2 La 3.43



DFT (PBE-GGA) results for a relaxed LiLaNdTm crystal.

Output
DFT total energy: -3.883 eV/atom
Formation energy: 0.55 eV/f.u.
Crystal system: cubic
Space-group type: F-43m
M_tot: 0.0 μB/cell

a = 5.6075 Å, b = 5.6075 Å, c = 5.6075 Å
α = 60.00°, β = 60.00°, γ = 60.00°
With the nearest neighbours (Å) after each atom.
Fractional coordinates of all 4 atoms:
Tm1 0.5000 0.5000 0.5000  4 Nd 3.43, 4 La 3.43
Li1 0.0000 0.0000 0.0000  4 La 3.43, 4 Nd 3.43
Nd1 0.7500 0.7500 0.7500  4 Tm 3.43, 4 Li 3.43
La1 0.2500 0.2500 0.2500  4 Li 3.43, 4 Tm 3.43



DFT (PBE-GGA) results for a relaxed LiLaNdY crystal.

Output
DFT total energy: -4.353 eV/atom
Formation energy: 0.66 eV/f.u.
Crystal system: cubic
Space-group type: F-43m
M_tot: 0.0 μB/cell

a = 5.6580 Å, b = 5.6580 Å, c = 5.6580 Å
α = 60.00°, β = 60.00°, γ = 60.00°
With the nearest neighbours (Å) after each atom.
Fractional coordinates of all 4 atoms:
Nd1 0.5000 0.5000 0.5000  4 Li 3.46, 4 Y 3.46
Li1 0.2500 0.2500 0.2500  4 La 3.46, 4 Nd 3.46
Y1 0.7500 0.7500 0.7500  4 La 3.46, 4 Nd 3.46
La1 0.0000 0.0000 0.0000  4 Y 3.46, 4 Li 3.46



DFT (PBE-GGA) results for a relaxed LiLa2Ni crystal.

Output
DFT total energy: -4.419 eV/atom
Formation energy: -0.13 eV/f.u.
Crystal system: orthorhombic
Space-group type: Imm2
M_tot: 0.0 μB/cell

a = 6.6981 Å, b = 6.6981 Å, c = 6.6981 Å
α = 149.50°, β = 138.09°, γ = 52.71°
With the nearest neighbours (Å) after each atom.
Fractional coordinates of all 4 atoms:
La1 0.7538 0.2538 0.5000  4 Ni 2.97, 2 Li 3.21
La2 0.0584 0.0584 0.0000  2 Ni 2.95
Li1 0.4320 0.4320 0.0000  2 Ni 2.75
Ni1 0.2558 0.7558 0.5000  2 Li 2.75, 6 La 2.95-2.97



Copy entry 3 word for word.
DFT (PBE-GGA) results for a relaxed Li2LaNdTl2 crystal.

Output
DFT total energy: -3.344 eV/atom
Formation energy: -1.81 eV/f.u.
Crystal system: trigonal
Space-group type: P-3m1
M_tot: 0.2 μB/cell

a = 5.1044 Å, b = 5.1044 Å, c = 6.8637 Å
α = 90.00°, β = 90.00°, γ = 120.00°
With the nearest neighbours (Å) after each atom.
Fractional coordinates of all 6 atoms:
Li1 0.3333 0.6667 0.2580  3 Tl 2.95
Li2 0.6667 0.3333 0.7420  3 Tl 2.95
La1 0.0000 0.0000 0.0000  6 Tl 3.43, 2 Nd 3.43, 6 Li 3.44
Tl1 0.3333 0.6667 0.7443  3 Li 2.95
Tl2 0.6667 0.3333 0.2557  3 Li 2.95
Nd1 0.0000 0.0000 0.5000  6 Li 3.38, 6 Tl 3.39, 2 La 3.43